A plane-wave DFT calculation with GGA-PBE was carried out for an optimized crystal structure of BeGaP3.

Unit cell a=4.303 b=4.303 c=4.303 alpha=90.00 beta=90.00 gamma=90.00
Space group Pm-3m (No. 221)
Inequivalent atoms, fractional coordinates:
1 Be 0.000 0.000 0.000 x1
2 Ga 0.500 0.500 0.500 x1
3 P 0.000 0.000 0.500 x3

Properties
Formation energy from the elements = 637 meV per atom
Excess energy over the best structure of this formula in the dataset = 0 meV/atom
DFT total energy = -3.9600 eV/atom

***

A plane-wave DFT calculation with GGA-PBE was carried out for an optimized crystal structure of Sr2Sn2Bi3.

Unit cell a=16.729 b=4.973 c=7.785 alpha=90.00 beta=111.69 gamma=90.00
Space group C2/m (No. 12)
Inequivalent atoms, fractional coordinates:
1 Sr 0.110 0.000 0.391 x4
2 Sn 0.187 0.500 0.804 x4
3 Bi 0.000 0.500 0.500 x2
4 Bi 0.203 0.500 0.211 x4

Properties
Formation energy from the elements = -348 meV per atom
DFT total energy = -3.6355 eV/atom

***

A plane-wave DFT calculation with GGA-PBE was carried out for an optimized crystal structure of Tb2NdAg2.

Unit cell a=5.267 b=4.940 c=11.117 alpha=90.00 beta=95.04 gamma=90.00
Space group P2_1/m (No. 11)
Inequivalent atoms, fractional coordinates:
1 Tb 0.159 0.250 0.113 x2
2 Tb 0.250 0.750 0.506 x2
3 Nd 0.301 0.250 0.755 x2
4 Ag 0.226 0.250 0.367 x2
5 Ag 0.356 0.750 0.995 x2

Properties
Formation energy from the elements = -111 meV per atom
Excess energy over the best structure of this formula in the dataset = 106 meV/atom
DFT total energy = -4.0574 eV/atom

***

no.,N(E_F) (states/eV/atom),spin magnetization (μB per cell)
1,0.654,0.00
2,0.227,0.00
3,1.140,0.00